Below is crystalline SrMn2W at its relaxed geometry, with properties calculated at the PBE level.

The structure in POSCAR format:
```
SrMn2W
1.0
4.3882 -0.0157 -0.0557
3.2795 2.9157 -0.0557
0.9111 0.3446 6.5080
Mn Sr W
2 1 1
Direct
0.9771 0.9771 0.1030 Mn
0.5229 0.5229 0.3970 Mn
0.7500 0.7500 0.7500 Sr
0.2500 0.2500 0.2500 W
```

- Offset from the most stable computed form: 162.5 meV/atom
- E_form: 264 kJ/mol of formula units
- Magnetic moment: 4.8 μB/f.u.

Below is crystalline Sr2MnW at its relaxed geometry, with properties calculated at the PBE level.

The structure in POSCAR format:
```
Sr2MnW
1.0
-5.6125 0.0453 1.5858
-0.0087 -5.8309 0.1359
0.8671 0.0702 3.0669
Mn Sr W
1 2 1
Direct
0.0000 0.5000 0.5000 Mn
0.0000 0.0000 0.0000 Sr
0.5000 0.5000 0.0000 Sr
0.5000 0.0000 0.5000 W
```

- Offset from the most stable computed form: 741.1 meV/atom
- E_form: 508 kJ/mol of formula units
- Magnetic moment: 5.4 μB/f.u.

Below is crystalline SrMn2W at its relaxed geometry, with properties calculated at the PBE level.

The structure in POSCAR format:
```
SrMn2W
1.0
5.8287 -0.0722 -0.0215
2.8679 5.0749 0.0215
-3.5929 -3.8145 2.5535
Mn Sr W
2 1 1
Direct
0.9864 0.9864 0.0000 Mn
0.2096 0.7096 0.5000 Mn
0.5050 0.5050 0.0000 Sr
0.7990 0.2990 0.5000 W
```

- Offset from the most stable computed form: 388.8 meV/atom
- E_form: 352 kJ/mol of formula units
- Magnetic moment: 1.8 μB/f.u.

Below is crystalline Sr3MnW at its relaxed geometry, with properties calculated at the PBE level.

The structure in POSCAR format:
```
Sr3MnW
1.0
5.7907 0.0000 0.0000
0.0000 5.7907 0.0000
0.0000 0.0000 5.7907
Sr Mn W
3 1 1
Direct
0.0000 0.5000 0.0000 Sr
0.0000 0.0000 0.5000 Sr
0.5000 0.0000 0.0000 Sr
0.5000 0.5000 0.5000 Mn
0.0000 0.0000 0.0000 W
```

- Offset from the most stable computed form: 0.0 meV/atom
- E_form: 918 kJ/mol of formula units
- Magnetic moment: 0.9 μB/f.u.

Below is crystalline SrMn4W at its relaxed geometry, with properties calculated at the PBE level.

The structure in POSCAR format:
```
SrMn4W
1.0
0.0000 3.5367 3.5367
3.5367 0.0000 3.5367
3.5367 3.5367 0.0000
Sr Mn W
1 4 1
Direct
0.7500 0.7500 0.7500 Sr
0.8773 0.3742 0.3742 Mn
0.3742 0.3742 0.8773 Mn
0.3742 0.8773 0.3742 Mn
0.3742 0.3742 0.3742 Mn
0.0000 0.0000 0.0000 W
```

- E_form: 405 kJ/mol of formula units
- Magnetic moment: 3.8 μB/f.u.

Below is crystalline SrMn2W at its relaxed geometry, with properties calculated at the PBE level.

The structure in POSCAR format:
```
SrMn2W
1.0
4.7453 0.0024 0.0000
-0.0030 4.7453 0.0000
-2.3711 -2.3738 3.3557
Mn Sr W
2 1 1
Direct
0.0000 0.0000 0.0000 Mn
0.2500 0.7500 0.5000 Mn
0.5000 0.5000 0.0000 Sr
0.7500 0.2500 0.5000 W
```

- Offset from the most stable computed form: 634.9 meV/atom
- E_form: 446 kJ/mol of formula units
- Magnetic moment: 5.6 μB/f.u.

Below is crystalline Sr2MnW at its relaxed geometry, with properties calculated at the PBE level.

The structure in POSCAR format:
```
Sr2MnW
1.0
-2.8535 -0.9476 1.6056
0.8771 -3.2739 -0.3734
5.4446 -2.9637 7.9268
Mn Sr W
1 2 1
Direct
0.5000 0.8321 0.6681 Mn
0.0000 0.0795 0.9242 Sr
0.5000 0.1754 0.3214 Sr
0.0000 0.4130 0.5863 W
```

- Offset from the most stable computed form: 48.0 meV/atom
- E_form: 240 kJ/mol of formula units
- Magnetic moment: 1.4 μB/f.u.

Below is crystalline Sr2MnW at its relaxed geometry, with properties calculated at the PBE level.

The structure in POSCAR format:
```
Sr2MnW
1.0
-1.0271 0.8708 2.8021
-2.9277 -0.1063 -1.0401
-0.6613 -10.0863 2.8923
Mn Sr W
1 2 1
Direct
0.5000 0.5000 0.7500 Mn
0.0000 0.0000 0.0099 Sr
0.0000 0.0000 0.4901 Sr
0.5000 0.5000 0.2500 W
```

- Offset from the most stable computed form: 625.4 meV/atom
- E_form: 463 kJ/mol of formula units
- Magnetic moment: 3.8 μB/f.u.

Q: Which value of E_form does entry 8 give?
A: 463 kJ/mol of formula units

What did the second record say?
Below is crystalline Sr2MnW at its relaxed geometry, with properties calculated at the PBE level.

The structure in POSCAR format:
```
Sr2MnW
1.0
-5.6125 0.0453 1.5858
-0.0087 -5.8309 0.1359
0.8671 0.0702 3.0669
Mn Sr W
1 2 1
Direct
0.0000 0.5000 0.5000 Mn
0.0000 0.0000 0.0000 Sr
0.5000 0.5000 0.0000 Sr
0.5000 0.0000 0.5000 W
```

- Offset from the most stable computed form: 741.1 meV/atom
- E_form: 508 kJ/mol of formula units
- Magnetic moment: 5.4 μB/f.u.

Q: Which of these has the lowest E_form?
A: number 7